# TaIn2Ag, relaxed, DFT PBE
# E_form ... 165.7 meV/atom
# Total energy ... -4.880 eV per atom
# ρ ... 10.79 Mg/m³
# Crystal system ... tetragonal
data_TaIn2Ag
_chemical_formula_sum 'Ta1 In2 Ag1'
_space_group_name_H-M_alt 'P 4/m m m'
_space_group_IT_number 123
_space_group_name_Hall '-P 4 2'
_cell_length_a 3.003
_cell_length_b 3.003
_cell_length_c 8.849
_cell_angle_alpha 90.00
_cell_angle_beta 90.00
_cell_angle_gamma 90.00
loop_
_atom_site_label
_atom_site_type_symbol
_atom_site_fract_x
_atom_site_fract_y
_atom_site_fract_z
Ta1 Ta 0.000 0.000 0.000
In1 In 0.500 0.500 0.248
Ag1 Ag 0.000 0.000 0.500